Entry from the Alexandria database: an optimized crystal structure of ZrScTl2 (GGA-PBE).

The structure in CIF format:
```
data_ZrScTl2
_cell_length_a 4.037
_cell_length_b 4.531
_cell_length_c 10.336
_cell_angle_alpha 90.00
_cell_angle_beta 90.00
_cell_angle_gamma 90.00
_symmetry_space_group_name_H-M 'I m m 2'
_symmetry_Int_Tables_number 44
loop_
_symmetry_equiv_pos_as_xyz
'x,y,z'
'-x,-y,z'
'-x,y,z'
'x,-y,z'
'x+1/2,y+1/2,z+1/2'
'-x+1/2,-y+1/2,z+1/2'
'-x+1/2,y+1/2,z+1/2'
'x+1/2,-y+1/2,z+1/2'
loop_
_atom_site_label
_atom_site_type_symbol
_atom_site_fract_x
_atom_site_fract_y
_atom_site_fract_z
Zr1 Zr 0.000 0.000 0.000
Sc1 Sc 0.000 0.500 0.749
Tl1 Tl 0.000 0.000 0.502
Tl2 Tl 0.000 0.500 0.244
```

DOS at the Fermi energy in states/eV/cell: 4.60
Final energy in eV for the cell shown: -40.273
Total magnetic moment in Bohr magnetons per cell: 0.0
Crystal system: orthorhombic
E_form in eV per atom: -0.13